(1)
Density functional theory data (PBE-GGA) for crystalline Sm2SeI at its relaxed geometry.

Cell: 4.0449 4.0449 8.4357 Å, 76.13 76.13 60.00°
Positions (direct):
Se 0.6664 0.6664 0.0008
Sm 0.0699 0.0699 0.7902
I 0.4996 0.4996 0.5011
Sm 0.2640 0.2640 0.2079

Properties
The calculation puts the total magnetization at 0.00 μB per formula unit. Its density of states at the Fermi level is 3.43 states/eV/f.u. The space group is R3m, No. 160. For the total energy, the calculation gives -4.921 eV per atom. The raw formation energy comes out at -1.303 eV per atom.

***

(2)
Density functional theory data (PBE-GGA) for crystalline Sm4Se4I3 at its relaxed geometry.

Cell: 4.3646 8.6063 9.7512 Å, 116.19 102.93 90.00°
Positions (direct):
Sm 0.7696 0.2696 0.5392
Sm 0.5000 0.7833 0.0000
Sm 0.2304 0.7304 0.4608
I 0.0989 0.0989 0.1977
Se 0.6682 0.8703 0.3364
Sm 0.5000 0.2167 0.0000
Se 0.3318 0.5339 0.6636
Se 0.3318 0.1297 0.6636
I 0.0000 0.5000 0.0000
I 0.9011 0.9011 0.8023
Se 0.6682 0.4661 0.3364

Properties
The calculation puts the total magnetization at 0.00 μB per formula unit. Its density of states at the Fermi level is 1.32 states/eV/f.u. The space group is Immm, No. 71. For the total energy, the calculation gives -4.907 eV per atom. The raw formation energy comes out at -1.501 eV per atom.

***

(3)
Density functional theory data (PBE-GGA) for crystalline Sm3Se2I2 at its relaxed geometry.

Cell: 4.1460 7.2580 7.7816 Å, 98.62 90.00 106.61°
Positions (direct):
Sm 0.7510 0.5009 0.1967
Sm 0.0000 0.0000 0.0000
Se 0.6149 0.2307 0.8640
I 0.1257 0.2507 0.3864
Sm 0.2490 0.4991 0.8033
Se 0.3851 0.7693 0.1360
I 0.8743 0.7493 0.6136

Properties
The calculation puts the total magnetization at 0.00 μB per formula unit. Its density of states at the Fermi level is 2.80 states/eV/f.u. The space group is P-1, No. 2. For the total energy, the calculation gives -5.007 eV per atom. The raw formation energy comes out at -1.546 eV per atom.

***

(4)
Density functional theory data (PBE-GGA) for crystalline Sm4SeI5 at its relaxed geometry.

Cell: 4.2219 8.9599 9.8649 Å, 103.10 102.36 90.00°
Positions (direct):
Sm 0.9979 0.2107 0.9958
I 0.5000 0.5000 0.0000
Sm 0.3524 0.9333 0.7047
Sm 0.0021 0.7893 0.0042
I 0.8355 0.6658 0.6711
I 0.8270 0.1831 0.6541
Se 0.5000 0.0000 0.0000
Sm 0.6476 0.0667 0.2953
I 0.1730 0.8169 0.3459
I 0.1645 0.3342 0.3289

Properties
The calculation puts the total magnetization at 0.00 μB per formula unit. Its density of states at the Fermi level is 2.91 states/eV/f.u. The space group is C2/m, No. 12. For the total energy, the calculation gives -4.350 eV per atom. The raw formation energy comes out at -1.339 eV per atom.

***

(5)
Density functional theory data (PBE-GGA) for crystalline Sm7SeI12 at its relaxed geometry.

Cell: 9.8482 9.8482 9.8482 Å, 108.02 108.02 108.02°
Positions (direct):
Sm 0.9620 0.6878 0.8920
Sm 0.5000 0.5000 0.5000
I 0.6876 0.2269 0.0775
Se 0.0000 0.0000 0.0000
I 0.0775 0.6876 0.2269
Sm 0.3122 0.1080 0.0380
I 0.8472 0.6091 0.5273
I 0.3124 0.7731 0.9225
I 0.3909 0.4727 0.1528
Sm 0.6878 0.8920 0.9620
Sm 0.8920 0.9620 0.6878
I 0.9225 0.3124 0.7731
I 0.6091 0.5273 0.8472
I 0.1528 0.3909 0.4727
Sm 0.0380 0.3122 0.1080
I 0.5273 0.8472 0.6091
I 0.7731 0.9225 0.3124
I 0.2269 0.0775 0.6876
I 0.4727 0.1528 0.3909
Sm 0.1080 0.0380 0.3122

Properties
The calculation puts the total magnetization at 0.00 μB per formula unit. Its density of states at the Fermi level is 3.42 states/eV/f.u. The space group is R-3, No. 148. For the total energy, the calculation gives -4.115 eV per atom. The raw formation energy comes out at -1.359 eV per atom.

***

(6)
Density functional theory data (PBE-GGA) for crystalline Sm2SeI at its relaxed geometry.

Cell: 4.3162 4.3162 7.7509 Å, 73.83 73.83 60.00°
Positions (direct):
Sm 0.2708 0.2708 0.1877
Se 0.0000 0.0000 0.0000
I 0.5000 0.5000 0.5000
Sm 0.7292 0.7292 0.8123

Properties
The calculation puts the total magnetization at 0.00 μB per formula unit. Its density of states at the Fermi level is 2.27 states/eV/f.u. The space group is R-3m, No. 166. For the total energy, the calculation gives -4.910 eV per atom. The raw formation energy comes out at -1.291 eV per atom.

***

(7)
Density functional theory data (PBE-GGA) for crystalline Sm3SeI3 at its relaxed geometry.

Cell: 7.2964 7.2964 12.1515 Å, 72.53 72.53 60.00°
Positions (direct):
I 0.5610 0.2287 0.3155
Sm 0.6200 0.9551 0.1348
Sm 0.0449 0.7099 0.8652
Sm 0.3800 0.0449 0.8652
Se 0.6667 0.6667 0.0000
I 0.7713 0.1052 0.6845
Se 0.3333 0.3333 0.0000
I 0.2287 0.8948 0.3155
Sm 0.9551 0.2901 0.1348
I 0.4390 0.7713 0.6845
I 0.8948 0.5610 0.3155
Sm 0.2901 0.6200 0.1348
I 0.1052 0.4390 0.6845
Sm 0.7099 0.3800 0.8652

Properties
The calculation puts the total magnetization at 0.00 μB per formula unit. Its density of states at the Fermi level is 2.38 states/eV/f.u. The space group is R-3, No. 148. For the total energy, the calculation gives -4.541 eV per atom. The raw formation energy comes out at -1.356 eV per atom.

***

(8)
Density functional theory data (PBE-GGA) for crystalline Sm2Se2I at its relaxed geometry.

Cell: 4.3595 5.7785 7.5914 Å, 112.37 106.69 90.00°
Positions (direct):
Sm 0.3133 0.8133 0.6265
I 0.0000 0.0000 0.0000
Sm 0.6867 0.1867 0.3735
Se 0.3273 0.3273 0.6546
Se 0.6727 0.6727 0.3454

Properties
The calculation puts the total magnetization at 0.00 μB per formula unit. Its density of states at the Fermi level is 2.21 states/eV/f.u. The space group is Immm, No. 71. For the total energy, the calculation gives -5.232 eV per atom. The raw formation energy comes out at -1.641 eV per atom.

***

(9)
Density functional theory data (PBE-GGA) for crystalline SmTa2Se4I2 at its relaxed geometry.

Cell: 3.6505 3.6505 22.5712 Å, 90.00 90.00 120.00°
Site moments in Bohr magnetons follow the coordinates.
Positions (direct):
Ta 0.6667 0.3333 0.6633  0.03
I 0.6667 0.3333 0.2278  0.01
Ta 0.0000 0.0000 0.9684  0.03
Sm 0.0000 0.0000 0.3274  0.37
Se 0.6667 0.3333 0.8967  0.00
Se 0.6667 0.3333 0.0406  0.00
Se 0.0000 0.0000 0.5911  0.00
I 0.6667 0.3333 0.4269  0.01
Se 0.0000 0.0000 0.7349  0.00

Properties
The calculation puts the total magnetization at 0.88 μB per formula unit. Its density of states at the Fermi level is 7.31 states/eV/f.u. The space group is P3m1, No. 156. For the total energy, the calculation gives -5.890 eV per atom. The raw formation energy comes out at -0.839 eV per atom.

***

(10)
Density functional theory data (PBE-GGA) for crystalline Sn2Se2I at its relaxed geometry.

Cell: 4.1720 8.3493 9.5952 Å, 102.50 102.56 90.00°
Positions (direct):
Se 0.1762 0.5873 0.3524
Sn 0.3352 0.6676 0.6709
Se 0.8238 0.4127 0.6476
I 0.5001 0.2500 0.0000
Se 0.8238 0.9127 0.6476
Se 0.1762 0.0873 0.3524
Sn 0.3358 0.1676 0.6709
I 0.4999 0.7500 0.0000
Sn 0.6648 0.3324 0.3291
Sn 0.6642 0.8324 0.3291

Properties
The calculation puts the total magnetization at 0.00 μB per formula unit. Its density of states at the Fermi level is 1.95 states/eV/f.u. The space group is C2/m, No. 12. For the total energy, the calculation gives -3.668 eV per atom. The raw formation energy comes out at -0.363 eV per atom.

***

(11)
Density functional theory data (PBE-GGA) for crystalline Sn2SeI at its relaxed geometry.

Cell: 4.0642 4.0642 9.0413 Å, 77.01 77.01 60.00°
Positions (direct):
Se 0.0000 0.0000 0.0000
Sn 0.2610 0.2610 0.2170
Sn 0.7390 0.7390 0.7830
I 0.5000 0.5000 0.5000

Properties
The calculation puts the total magnetization at 0.00 μB per formula unit. Its density of states at the Fermi level is 1.02 states/eV/f.u. The space group is R-3m, No. 166. For the total energy, the calculation gives -3.502 eV per atom. The raw formation energy comes out at -0.242 eV per atom.

***

(12)
Density functional theory data (PBE-GGA) for crystalline Sn2Se2I at its relaxed geometry.

Cell: 5.2444 5.2444 6.9133 Å, 67.71 67.71 90.00°
Positions (direct):
Sn 0.7500 0.2500 0.5000
Se 0.6538 0.6538 0.6924
Sn 0.2500 0.7500 0.5000
I 0.0000 0.0000 0.0000
Se 0.3462 0.3462 0.3076

Properties
The calculation puts the total magnetization at 0.00 μB per formula unit. Its density of states at the Fermi level is 2.98 states/eV/f.u. The space group is I4/mmm, No. 139. For the total energy, the calculation gives -3.541 eV per atom. The raw formation energy comes out at -0.236 eV per atom.